The following is a PBE calculation of a geometry-optimized K4IO4 structure, from Alexandria via LeMat-Bulk.

a = 8.8105 Å, b = 7.3259 Å, c = 8.8106 Å
α = 56.32°, β = 85.54°, γ = 123.69°
Fractional positions:
O 0.0429 0.8466 0.9571
O 0.9398 0.1822 0.7576
K 0.5934 0.6152 0.9782
O 0.8038 0.8466 0.1963
K 0.8570 0.2858 0.1430
I 0.0701 0.1403 0.9298
K 0.0218 0.6152 0.4066
O 0.2423 0.1822 0.0602
K 0.4288 0.2858 0.5711

D(E_F), states/eV/f.u.: 3.0
ΔE to the lowest computed polymorph, eV/atom: 0.208
Electronic total energy, eV/cell: -33.58
Space-group type: Fmm2, No. 42

***

The following is a PBE calculation of a geometry-optimized KI2O2 structure, from Alexandria via LeMat-Bulk.

a = 5.0283 Å, b = 5.0283 Å, c = 7.6471 Å
α = 90.00°, β = 90.00°, γ = 90.00°
Fractional positions:
I 0.5000 0.5000 0.5000
O 0.5000 0.0000 0.0000
K 0.0000 0.0000 0.0000
O 0.0000 0.5000 0.0000
I 0.0000 0.0000 0.5000

D(E_F), states/eV/f.u.: 4.6
ΔE to the lowest computed polymorph, eV/atom: 0.803
Electronic total energy, eV/cell: -11.71
Space-group type: P4/mmm, No. 123

***

The following is a PBE calculation of a geometry-optimized K8I5O structure, from Alexandria via LeMat-Bulk.

a = 10.1011 Å, b = 10.1011 Å, c = 10.1011 Å
α = 60.00°, β = 60.00°, γ = 60.00°
Fractional positions:
K 0.8634 0.8634 0.4099
K 0.3512 0.3512 0.3512
K 0.3512 0.9463 0.3512
I 0.1365 0.6212 0.6212
O 0.2500 0.2500 0.2500
I 0.6212 0.6212 0.6212
K 0.4099 0.8634 0.8634
K 0.8634 0.4099 0.8634
K 0.9463 0.3512 0.3512
I 0.6212 0.1365 0.6212
I 0.0000 0.0000 0.0000
K 0.8634 0.8634 0.8634
K 0.3512 0.3512 0.9463
I 0.6212 0.6212 0.1365

D(E_F), states/eV/f.u.: 3.1
Electronic total energy, eV/cell: -38.16
Space-group type: F-43m, No. 216

***

The following is a PBE calculation of a geometry-optimized K3IO4 structure, from Alexandria via LeMat-Bulk.

a = 5.7087 Å, b = 7.3541 Å, c = 8.5273 Å
α = 90.00°, β = 90.00°, γ = 90.00°
Fractional positions:
K 0.5455 0.3259 0.7429
O 0.5420 0.6923 0.2992
K 0.5466 0.8470 0.0000
I 0.0418 0.1760 0.0000
K 0.5455 0.3259 0.2571
O 0.0420 0.3077 0.7992
O 0.5420 0.6923 0.7008
O 0.7150 0.1797 0.0000
O 0.5368 0.0910 0.5000
O 0.0368 0.9090 0.0000
I 0.5418 0.8240 0.5000
K 0.0455 0.6741 0.2429
K 0.0466 0.1530 0.5000
O 0.0420 0.3077 0.2008
O 0.2150 0.8203 0.5000
K 0.0455 0.6741 0.7571

D(E_F), states/eV/f.u.: 0.0
ΔE to the lowest computed polymorph, eV/atom: 0.000
Electronic total energy, eV/cell: -67.82
Space-group type: Pmn2_1, No. 31